[1]
VASP calculation (PBE) on a relaxed Nd2TeAu crystal.

Results
D(E_F), states/eV per cell: 4.12
Distance to the lowest polymorph of the same formula, meV per atom: 121
Magnetization, μB/f.u.: 0.32

Cell: 3.8752 3.8752 7.3222 Å, 90.00 90.00 90.00°
Last column: nearest neighbours and their distance in Å.
Element x y z (fractional)
Nd: 0.0000 0.0000 0.7570  4 Au 3.27, 4 Te 3.32, 1 Nd 3.56
Nd: 0.0000 0.0000 0.2430  4 Au 3.27, 4 Te 3.32, 1 Nd 3.56
Au: 0.5000 0.5000 0.0000  8 Nd 3.27
Te: 0.5000 0.5000 0.5000  8 Nd 3.32, 2 Au 3.66

[2]
VASP calculation (PBE) on a relaxed Tb3Pm7In crystal.

Results
D(E_F), states/eV per cell: 16.32
ΔE_f, kJ/mol of formula units: 108
Magnetization, μB/f.u.: 0.00

Cell: 8.6184 7.0820 7.0820 Å, 120.00 90.00 90.00°
Last column: nearest neighbours and their distance in Å.
Element x y z (fractional)
Pm: 0.1105 0.6667 0.3333  3 Tb 3.50, 9 Pm 3.54-3.55
Pm: 0.4490 0.3381 0.1690  7 Pm 3.49-3.59, 2 Tb 3.50, 2 In 3.54
Pm: 0.1197 0.1688 0.3376  8 Pm 3.50-3.59, 1 In 3.54, 2 Tb 3.56
Pm: 0.4490 0.8310 0.1690  7 Pm 3.49-3.59, 2 Tb 3.50, 2 In 3.54
Pm: 0.4490 0.8310 0.6619  7 Pm 3.49-3.59, 2 Tb 3.50, 2 In 3.54
Pm: 0.1197 0.6624 0.8312  8 Pm 3.50-3.59, 1 In 3.54, 2 Tb 3.56
Pm: 0.1197 0.1688 0.8312  8 Pm 3.50-3.59, 1 In 3.54, 2 Tb 3.56
Tb: 0.7806 0.9997 0.4998  1 In 3.46, 5 Pm 3.50-3.56, 4 Tb 3.54
Tb: 0.7806 0.5002 0.0003  1 In 3.46, 5 Pm 3.50-3.56, 4 Tb 3.54
Tb: 0.7806 0.5002 0.4998  1 In 3.46, 5 Pm 3.50-3.56, 4 Tb 3.54
In: 0.4567 0.3333 0.6667  3 Tb 3.46, 9 Pm 3.54

[3]
VASP calculation (PBE) on a relaxed BaTc2Ag crystal.

Results
D(E_F), states/eV per cell: 5.28
ΔE_f, kJ/mol of formula units: 443
Distance to the lowest polymorph of the same formula, meV per atom: 721
Magnetization, μB/f.u.: 0.00

Cell: 5.4000 6.0235 2.8891 Å, 79.99 81.54 114.39°
Last column: nearest neighbours and their distance in Å.
Element x y z (fractional)
Tc: 0.5000 0.0000 0.5000  4 Tc 2.87-2.89, 2 Ag 3.11, 2 Ba 3.11
Tc: 0.0000 0.0000 0.0000  4 Tc 2.87-2.89, 2 Ba 3.11, 2 Ag 3.11
Ba: 0.5000 0.5000 0.0000  2 Ag 2.87, 2 Ba 2.89, 4 Tc 3.11
Ag: 0.0000 0.5000 0.5000  2 Ba 2.87, 2 Ag 2.89, 4 Tc 3.11

[4]
VASP calculation (PBE) on a relaxed BeInCuC2 crystal.

Results
D(E_F), states/eV per cell: 2.94
ΔE_f, kJ/mol of formula units: 1328
Magnetization, μB/f.u.: 0.38

Cell: 4.2171 4.9302 4.2171 Å, 90.00 90.00 90.00°
Last column: nearest neighbours and their distance in Å.
Element x y z (fractional)
In: 0.0000 0.0000 0.0000  4 C 2.11
C: 0.5000 0.0000 0.0000  2 In 2.11
C: 0.0000 0.0000 0.5000  2 In 2.11
Cu: 0.0000 0.5000 0.0000  2 In 2.47
Be: 0.5000 0.5000 0.5000  4 Cu 2.98, 8 C 3.24

[5]
VASP calculation (PBE) on a relaxed AcTaNbGe2 crystal.

Results
D(E_F), states/eV per cell: 2.49
ΔE_f, kJ/mol of formula units: -235
Magnetization, μB/f.u.: 0.00

Cell: 4.2040 4.2040 6.9027 Å, 107.73 107.73 90.00°
Last column: nearest neighbours and their distance in Å.
Element x y z (fractional)
Ac: 0.0000 0.0000 0.0000  8 Ge 3.28
Ge: 0.6121 0.6121 0.2241  2 Ta 2.72, 2 Nb 2.72, 1 Ge 2.79
Ge: 0.3879 0.3879 0.7759  2 Nb 2.72, 2 Ta 2.72, 1 Ge 2.79
Nb: 0.2500 0.7500 0.5000  4 Ge 2.72, 4 Ta 2.97
Ta: 0.7500 0.2500 0.5000  4 Ge 2.72, 4 Nb 2.97

[6]
VASP calculation (PBE) on a relaxed Ac6OsPt2Au crystal.

Results
D(E_F), states/eV per cell: 6.71
ΔE_f, kJ/mol of formula units: -617
Magnetization, μB/f.u.: 0.00

Cell: 7.6819 7.6786 8.3622 Å, 62.66 62.65 59.99°
Last column: nearest neighbours and their distance in Å.
Element x y z (fractional)
Pt: 0.0035 0.0040 0.9886  6 Ac 3.06-3.11
Pt: 0.5087 0.5087 0.4742  6 Ac 3.09-3.11
Au: 0.8247 0.8247 0.5257  6 Ac 3.21-3.25
Ac: 0.1136 0.4007 0.7606  1 Os 3.00, 2 Pt 3.06-3.11, 1 Au 3.21
Ac: 0.7254 0.1135 0.7606  1 Os 3.00, 2 Pt 3.06-3.11, 1 Au 3.21
Ac: 0.9272 0.5850 0.2401  1 Os 2.95, 2 Pt 3.09-3.11, 1 Au 3.25
Ac: 0.5852 0.2476 0.2402  1 Os 2.95, 2 Pt 3.09-3.10, 1 Au 3.25
Ac: 0.2474 0.9271 0.2401  1 Os 2.95, 2 Pt 3.09-3.11, 1 Au 3.25
Ac: 0.4002 0.7255 0.7608  1 Os 3.00, 2 Pt 3.06-3.11, 1 Au 3.21
Os: 0.3255 0.3249 0.0244  6 Ac 2.95-3.00